{
  "formula": "HfZr3Se6",
  "functional": "PBE",
  "state": "optimized geometry",
  "mass_density_g_cm3": 6.63,
  "spacegroup": "No. 36",
  "e_form_raw_mev_per_atom": -1112,
  "m_tot_mub_per_fu": 0.0,
  "lattice_angstrom": [[6.5845, 0.0000, 0.0000], [0.0000, 8.4708, 0.1319], [0.0000, -1.7617, 8.2866]],
  "species": ["Hf", "Hf", "Zr", "Zr", "Zr", "Zr", "Zr", "Zr", "Se", "Se", "Se", "Se", "Se", "Se", "Se", "Se", "Se", "Se", "Se", "Se"],
  "frac_coords": [[0.0276, 0.2068, 0.7932], [0.5276, 0.7932, 0.2068], [0.4773, 0.9286, 0.7349], [0.9773, 0.7349, 0.9286], [0.3705, 0.4158, 0.5842], [0.8705, 0.5842, 0.4158], [0.9773, 0.0714, 0.2651], [0.4773, 0.2651, 0.0714], [0.1688, 0.7080, 0.6295], [0.6688, 0.6295, 0.7080], [0.2357, 0.4592, 0.8997], [0.7357, 0.8997, 0.4592], [0.1845, 0.0278, 0.9722], [0.6390, 0.2333, 0.7667], [0.1390, 0.7667, 0.2333], [0.6845, 0.9722, 0.0278], [0.2357, 0.1003, 0.5408], [0.7357, 0.5408, 0.1003], [0.1688, 0.3705, 0.2920], [0.6688, 0.2920, 0.3705]]
}

{
  "formula": "CrMoHRh2",
  "functional": "PBE",
  "state": "optimized geometry",
  "mass_density_g_cm3": 5.91,
  "spacegroup": "No. 123",
  "relative_energy_kj_per_mol_atoms": 198.3,
  "m_tot_mub_per_fu": 1.2,
  "lattice_angstrom": [[-0.2161, 4.5625, 1.1205], [-4.3765, -0.4475, 0.9781], [1.1015, -1.0412, 4.4521]],
  "species": ["Cr", "Mo", "Rh", "Rh", "H"],
  "frac_coords": [[0.0000, 0.5000, 0.0000], [0.0000, 0.0000, 0.0000], [0.0000, 0.0000, 0.5000], [0.5000, 0.0000, 0.0000], [0.5000, 0.5000, 0.5000]]
}

{
  "formula": "Li2MgPt2",
  "functional": "PBE",
  "state": "optimized geometry",
  "mass_density_g_cm3": 9.96,
  "spacegroup": "No. 127",
  "relative_energy_kj_per_mol_atoms": 2.6,
  "m_tot_mub_per_fu": 0.0,
  "lattice_angstrom": [[7.0419, 0.0000, 0.0000], [0.0000, 7.0419, 0.0000], [0.0000, 0.0000, 2.8801]],
  "species": ["Mg", "Mg", "Pt", "Pt", "Pt", "Pt", "Li", "Li", "Li", "Li"],
  "frac_coords": [[0.0000, 0.0000, 0.0000], [0.5000, 0.5000, 0.0000], [0.1844, 0.6844, 0.5000], [0.6844, 0.8156, 0.5000], [0.8156, 0.3156, 0.5000], [0.3156, 0.1844, 0.5000], [0.3858, 0.8858, 0.0000], [0.8858, 0.6142, 0.0000], [0.6142, 0.1142, 0.0000], [0.1142, 0.3858, 0.0000]]
}

{
  "formula": "AcCe2Th",
  "functional": "PBE",
  "state": "optimized geometry",
  "mass_density_g_cm3": 9.27,
  "spacegroup": "No. 225",
  "relative_energy_kj_per_mol_atoms": 19.5,
  "m_tot_mub_per_fu": 1.9,
  "lattice_angstrom": [[5.7212, 0.0000, 0.0000], [2.8606, 4.9547, 0.0000], [2.8606, 1.6516, 4.6714]],
  "species": ["Ac", "Ce", "Ce", "Th"],
  "frac_coords": [[0.5000, 0.5000, 0.5000], [0.2500, 0.2500, 0.2500], [0.7500, 0.7500, 0.7500], [0.0000, 0.0000, 0.0000]]
}

{
  "formula": "Cs2HfAu",
  "functional": "PBE",
  "state": "optimized geometry",
  "mass_density_g_cm3": 6.13,
  "spacegroup": "No. 225",
  "relative_energy_kj_per_mol_atoms": 43.5,
  "m_tot_mub_per_fu": 3.0,
  "lattice_angstrom": [[3.0805, -2.5396, 4.8246], [-0.4782, 2.5374, 5.7051], [-3.1570, -2.9940, 4.5038]],
  "species": ["Cs", "Cs", "Hf", "Au"],
  "frac_coords": [[0.2500, 0.2500, 0.2500], [0.7500, 0.7500, 0.7500], [0.0000, 0.0000, 0.0000], [0.5000, 0.5000, 0.5000]]
}

{
  "formula": "Rb2AlPbCl6",
  "functional": "PBE",
  "state": "optimized geometry",
  "mass_density_g_cm3": 3.32,
  "spacegroup": "No. 139",
  "e_form_raw_mev_per_atom": -1446,
  "m_tot_mub_per_fu": 0.0,
  "lattice_angstrom": [[7.5938, 0.0000, 0.0000], [0.0000, 7.5938, 0.0000], [3.7969, 3.7969, 5.3655]],
  "species": ["Pb", "Al", "Rb", "Rb", "Cl", "Cl", "Cl", "Cl", "Cl", "Cl"],
  "frac_coords": [[0.0000, 0.0000, 0.0000], [0.5000, 0.5000, 0.0000], [0.7500, 0.2500, 0.5000], [0.2500, 0.7500, 0.5000], [0.2743, 0.2743, 0.4514], [0.7257, 0.7257, 0.5486], [0.2735, 0.2735, 0.0000], [0.7265, 0.7265, 0.0000], [0.7265, 0.2735, 0.0000], [0.2735, 0.7265, 0.0000]]
}

{
  "formula": "PrMg2Pt2",
  "functional": "PBE",
  "state": "optimized geometry",
  "mass_density_g_cm3": 9.10,
  "spacegroup": "No. 139",
  "relative_energy_kj_per_mol_atoms": 0.0,
  "m_tot_mub_per_fu": 0.0,
  "lattice_angstrom": [[-3.8955, 1.2361, 0.4247], [-0.3138, -2.1807, 3.4684], [4.0389, 5.4355, 1.3490]],
  "species": ["Pr", "Mg", "Mg", "Pt", "Pt"],
  "frac_coords": [[0.0000, 0.0000, 0.0000], [0.7500, 0.2500, 0.5000], [0.2500, 0.7500, 0.5000], [0.6096, 0.6096, 0.2192], [0.3904, 0.3904, 0.7808]]
}

{
  "formula": "Pm7Dy2Tm",
  "functional": "PBE",
  "state": "optimized geometry",
  "mass_density_g_cm3": 6.16,
  "spacegroup": "No. 65",
  "dft_energy_ev_per_atom": -4.044,
  "m_tot_mub_per_fu": 0.0,
  "lattice_angstrom": [[-1.1300, -0.9991, 5.3273], [5.2205, -7.8781, -0.3702], [3.2993, 8.5590, 2.3051]],
  "species": ["Pm", "Pm", "Pm", "Pm", "Pm", "Pm", "Pm", "Dy", "Dy", "Tm"],
  "frac_coords": [[0.0000, 0.7896, 0.2104], [0.0000, 0.2104, 0.7896], [0.5000, 0.0677, 0.2896], [0.5000, 0.9323, 0.7104], [0.5000, 0.2896, 0.0677], [0.5000, 0.7104, 0.9323], [0.5000, 0.5000, 0.5000], [0.5000, 0.7054, 0.2946], [0.5000, 0.2946, 0.7054], [0.0000, 0.0000, 0.0000]]
}

{
  "formula": "MgSb2Pt",
  "functional": "PBE",
  "state": "optimized geometry",
  "mass_density_g_cm3": 7.93,
  "spacegroup": "No. 12",
  "e_form_raw_mev_per_atom": -306,
  "m_tot_mub_per_fu": 0.0,
  "lattice_angstrom": [[-1.5542, -0.1470, -3.7859], [2.1821, -1.6228, -3.0619], [-2.4162, -6.5989, -0.9816]],
  "species": ["Mg", "Pt", "Sb", "Sb"],
  "frac_coords": [[0.2500, 0.2500, 0.2500], [0.7500, 0.7500, 0.7500], [0.0144, 0.0144, 0.9532], [0.4856, 0.4856, 0.5468]]
}